[1]
A geometry-optimized MgMnMo structure. Source: Alexandria, functional GGA-PBE.

Cell: 6.8633 6.8633 6.8633 Å, 157.11 157.11 32.60°
Closest atoms and distances in Å follow each position.
Sites, in units of the cell vectors:
1 Mg 0.0000 0.0000 0.0000  4 Mg 2.72, 4 Mn 2.97, 4 Mo 3.02
2 Mn 0.3284 0.3284 0.0000  4 Mn 2.72, 4 Mo 2.78, 4 Mg 2.97
3 Mo 0.6762 0.6762 0.0000  4 Mo 2.72, 4 Mn 2.78, 4 Mg 3.02

Calculated values
crystal system = tetragonal
energy relative to the elements = 1.034 eV/f.u.
offset from the most stable computed form = 119 meV/atom
total DFT energy (no corrections) = -20.56 eV per formula unit


[2]
A geometry-optimized PuUTc structure. Source: Alexandria, functional GGA-PBE.

Cell: 5.5259 5.5259 5.5259 Å, 144.46 144.46 51.14°
Closest atoms and distances in Å follow each position.
Sites, in units of the cell vectors:
1 Pu 0.0000 0.0000 0.0000  4 U 2.86, 5 Tc 2.99-3.18
2 U 0.3422 0.3422 0.0000  4 Pu 2.86, 4 Tc 2.87
3 Tc 0.6813 0.6813 0.0000  4 U 2.87, 5 Pu 2.99-3.18

Calculated values
crystal system = tetragonal
energy relative to the elements = -0.206 eV/f.u.
offset from the most stable computed form = 0 meV/atom
total DFT energy (no corrections) = -36.19 eV per formula unit


[3]
A geometry-optimized ZnAsRu structure. Source: Alexandria, functional GGA-PBE.

Cell: 4.1650 4.1650 4.1650 Å, 60.00 60.00 60.00°
Closest atoms and distances in Å follow each position.
Sites, in units of the cell vectors:
1 Zn 0.0000 0.0000 0.0000  4 Ru 2.55
2 As 0.5000 0.5000 0.5000  4 Ru 2.55
3 Ru 0.2500 0.2500 0.2500  4 As 2.55, 4 Zn 2.55

Calculated values
crystal system = cubic
energy relative to the elements = 0.094 eV/f.u.
offset from the most stable computed form = 177 meV/atom
total DFT energy (no corrections) = -15.11 eV per formula unit


[4]
A geometry-optimized LiNdEu2 structure. Source: Alexandria, functional GGA-PBE.

Cell: 3.8493 3.8493 9.4324 Å, 90.00 90.00 90.00°
Closest atoms and distances in Å follow each position.
Sites, in units of the cell vectors:
1 Li 0.0000 0.0000 0.0000  8 Eu 3.44, 4 Li 3.85
2 Nd 0.0000 0.0000 0.5000  8 Eu 3.77, 4 Nd 3.85
3 Eu 0.5000 0.5000 0.2227  4 Li 3.44, 4 Nd 3.77, 4 Eu 3.85
4 Eu 0.5000 0.5000 0.7773  4 Li 3.44, 4 Nd 3.77, 4 Eu 3.85

Calculated values
crystal system = tetragonal
energy relative to the elements = 0.311 eV/f.u.
offset from the most stable computed form = 0 meV/atom
total DFT energy (no corrections) = -26.92 eV per formula unit


> total DFT energy (no corrections) of number 4 (LiNdEu2)?

-26.92 eV per formula unit


> Which formula does entry 3 have?

ZnAsRu


> What is the offset from the most stable computed form in the fourth record?

0 meV/atom